Density functional theory data (PBE+U) for an optimized crystal structure of LiCo2P5O16.

Output
The value obtained for the total energy is -6.84 eV per atom.

a = 6.733 Å, b = 5.021 Å, c = 18.370 Å
α = 89.44°, β = 90.00°, γ = 90.00°
Each line ends with the local moment (μB).
Atoms (fractional coordinates):
P  0.538  0.272  0.371  -0.01
P  0.462  0.272  0.871  -0.01
P  0.524  0.740  0.131  -0.01
P  0.123  0.772  0.078  -0.01
P  0.877  0.772  0.578  -0.01
P  0.878  0.221  0.921  -0.01
P  0.476  0.740  0.631  -0.01
P  0.744  0.994  0.250  -0.01
P  0.256  0.994  0.750  -0.01
P  0.122  0.221  0.421  -0.01
O  0.224  0.644  0.011  -0.02
O  0.403  0.198  0.789  0.00
O  0.132  0.851  0.806  -0.01
O  0.598  0.956  0.081  -0.05
O  0.145  0.146  0.692  -0.10
O  0.428  0.569  0.881  0.04
O  0.950  0.612  0.108  -0.10
O  0.694  0.222  0.862  0.00
O  0.597  0.198  0.289  0.00
O  0.710  0.760  0.643  -0.02
O  0.967  0.400  0.388  -0.07
O  0.779  0.319  0.991  -0.14
O  0.050  0.612  0.608  -0.10
O  0.061  0.926  0.430  0.05
O  0.221  0.319  0.491  -0.14
O  0.033  0.400  0.888  -0.07
O  0.404  0.784  0.713  -0.01
O  0.915  0.072  0.569  -0.10
O  0.939  0.926  0.930  0.05
O  0.368  0.090  0.927  -0.04
O  0.560  0.451  0.111  -0.08
O  0.596  0.784  0.213  -0.01
O  0.306  0.222  0.362  0.00
O  0.085  0.072  0.069  -0.10
O  0.572  0.569  0.381  0.04
O  0.868  0.851  0.306  -0.01
O  0.855  0.146  0.192  -0.10
O  0.402  0.956  0.581  -0.05
O  0.290  0.760  0.143  -0.02
O  0.632  0.090  0.427  -0.04
O  0.440  0.451  0.611  -0.08
O  0.776  0.644  0.511  -0.02
Li  0.630  0.253  0.533  0.00
Li  0.370  0.253  0.033  0.00
Co  0.180  0.745  0.907  -2.09
Co  0.820  0.745  0.407  -2.09
Co  0.178  0.263  0.592  -3.17
Co  0.822  0.263  0.092  -3.17